No. 1
A relaxed structure of Na2TaSiS. Source: the Alexandria database, functional PBE.

DOS at the Fermi energy in states/eV per atom: 0.7955
Calculated total energy in eV per cell: -17.583
Space-group type: P4/mmm, No. 123
Size of the total moment in μB/cell: 3.31

Unit cell a=5.5044 b=5.5044 c=4.5336 alpha=90.00 beta=90.00 gamma=90.00
Closest atoms and distances in Å follow each position.
Element x y z (fractional)
Na1 0.0000 0.5000 0.0000  2 Si 2.75
Na2 0.5000 0.0000 0.0000  2 Si 2.75
Ta1 0.0000 0.0000 0.5000  8 Na 3.57, 4 S 3.89
Si1 0.5000 0.5000 0.0000  2 S 2.27
S1 0.5000 0.5000 0.5000  2 Si 2.27

No. 2
A relaxed structure of Tm2PuB2Ru5. Source: the Alexandria database, functional PBE.

DOS at the Fermi energy in states/eV per atom: 0.9880
Formation enthalpy at 0 K in eV/atom: -0.44
Space-group type: P4/mbm, No. 127
Size of the total moment in μB/cell: 6.36

Unit cell a=9.7354 b=9.7354 c=3.1632 alpha=90.00 beta=90.00 gamma=90.00
Closest atoms and distances in Å follow each position.
Element x y z (fractional)
Tm1 0.1725 0.3275 0.0000  10 Ru 2.85-3.04, 3 B 2.86-2.89, 2 Tm 3.16
Tm2 0.3275 0.8275 0.0000  10 Ru 2.85-3.04, 3 B 2.86-2.89, 2 Tm 3.16
Tm3 0.6725 0.1725 0.0000  10 Ru 2.85-3.04, 3 B 2.86-2.89, 2 Tm 3.16
Tm4 0.8275 0.6725 0.0000  10 Ru 2.85-3.04, 3 B 2.86-2.89, 2 Tm 3.16
Pu1 0.0000 0.0000 0.0000  8 Ru 2.76
Pu2 0.5000 0.5000 0.0000  8 Ru 2.76
B1 0.1197 0.6197 0.0000  6 Ru 2.26-2.28
B2 0.3803 0.1197 0.0000  6 Ru 2.26-2.28
B3 0.6197 0.8803 0.0000  6 Ru 2.26-2.28
B4 0.8803 0.3803 0.0000  6 Ru 2.26-2.28
Ru1 0.0000 0.5000 0.5000  4 B 2.28
Ru2 0.0724 0.7787 0.5000  2 B 2.26
Ru3 0.2213 0.0724 0.5000  2 B 2.26
Ru4 0.2787 0.5724 0.5000  2 B 2.26
Ru5 0.4276 0.2787 0.5000  2 B 2.26
Ru6 0.5000 0.0000 0.5000  4 B 2.28
Ru7 0.5724 0.7213 0.5000  2 B 2.26
Ru8 0.7213 0.4276 0.5000  2 B 2.26
Ru9 0.7787 0.9276 0.5000  2 B 2.26
Ru10 0.9276 0.2213 0.5000  2 B 2.26

No. 3
A relaxed structure of Ce5Co2Pt2. Source: the Alexandria database, functional PBE.

DOS at the Fermi energy in states/eV per atom: 2.3102
Formation enthalpy at 0 K in eV/atom: -0.47
Space-group type: Ima2, No. 46
Size of the total moment in μB/cell: 5.36

Unit cell a=9.7565 b=9.7565 c=9.7565 alpha=62.11 beta=136.62 gamma=137.82
Closest atoms and distances in Å follow each position.
Element x y z (fractional)
Ce1 0.1403 0.0219 0.6185  1 Co 2.22
Ce2 0.1821 0.0543 0.2364  2 Co 2.68-2.81, 2 Pt 2.84-2.94
Ce3 0.1821 0.4457 0.6277  2 Co 2.68-2.81, 2 Pt 2.84-2.94
Ce4 0.4034 0.5219 0.3815  1 Co 2.22
Ce5 0.5265 0.0262 0.1828  2 Pt 2.77-2.84, 2 Co 2.85-2.89, 1 Ce 3.05
Ce6 0.5265 0.8437 0.0003  2 Pt 2.77-2.84, 2 Co 2.85-2.89, 1 Ce 3.05
Ce7 0.8179 0.5543 0.3723  2 Co 2.68-2.81, 2 Pt 2.84-2.94
Ce8 0.8179 0.9457 0.7636  2 Co 2.68-2.81, 2 Pt 2.84-2.94
Ce9 0.8434 0.3437 0.8172  2 Pt 2.77-2.84, 2 Co 2.85-2.89, 1 Ce 3.05
Ce10 0.8434 0.5262 0.9997  2 Pt 2.77-2.84, 2 Co 2.85-2.89, 1 Ce 3.05
Co1 0.6932 0.1932 0.5000  6 Ce 2.68-2.89, 2 Pt 2.81
Co2 0.6932 0.6932 0.0000  6 Ce 2.68-2.89, 2 Pt 2.81
Co3 0.9788 0.7335 0.7452  1 Ce 2.22
Co4 0.9883 0.2335 0.2548  1 Ce 2.22
Pt1 0.3049 0.4269 0.0414  4 Ce 2.77-2.94, 1 Pt 2.79, 1 Co 2.81
Pt2 0.3049 0.7635 0.3780  4 Ce 2.77-2.94, 1 Pt 2.79, 1 Co 2.81
Pt3 0.3855 0.2635 0.9586  4 Ce 2.77-2.94, 1 Pt 2.79, 1 Co 2.81
Pt4 0.3855 0.9269 0.6220  4 Ce 2.77-2.94, 1 Pt 2.79, 1 Co 2.81

No. 4
A relaxed structure of Y3Os. Source: the Alexandria database, functional PBE.

DOS at the Fermi energy in states/eV per atom: 0.9052
Formation enthalpy at 0 K in eV/atom: 0.22
Space-group type: I4/mmm, No. 139
Size of the total moment in μB/cell: 0.00

Unit cell a=5.8394 b=5.8394 c=5.8394 alpha=135.43 beta=135.43 gamma=64.86
Closest atoms and distances in Å follow each position.
Element x y z (fractional)
Y1 0.0000 0.0000 0.0000  4 Os 3.13, 8 Y 3.31
Y2 0.2500 0.7500 0.5000  8 Y 3.13-3.31, 4 Os 3.31
Y3 0.7500 0.2500 0.5000  8 Y 3.13-3.31, 4 Os 3.31
Os1 0.5000 0.5000 0.0000  12 Y 3.13-3.31

No. 5
A relaxed structure of TmNiIr. Source: the Alexandria database, functional PBE.

DOS at the Fermi energy in states/eV per atom: 0.6598
Formation enthalpy at 0 K in eV/atom: -0.32
Space-group type: I4mm, No. 107
Size of the total moment in μB/cell: 0.00

Unit cell a=5.2000 b=5.2000 c=5.2000 alpha=142.64 beta=142.64 gamma=53.86
Closest atoms and distances in Å follow each position.
Element x y z (fractional)
Tm1 0.0000 0.0000 0.0000  5 Ni 2.75-3.02, 5 Ir 2.83-2.97
Ni1 0.7037 0.7037 0.0000  4 Ir 2.54, 1 Tm 2.75
Ir1 0.3054 0.3054 0.0000  4 Ni 2.54, 1 Tm 2.83

No. 6
A relaxed structure of La8Sm2Ho3. Source: the Alexandria database, functional PBE.

DOS at the Fermi energy in states/eV per atom: 1.5928
Formation enthalpy at 0 K in eV/atom: 0.14
Space-group type: C2/m, No. 12
ΔE to the lowest computed polymorph in meV/atom: 0
Size of the total moment in μB/cell: 0.00

Unit cell a=9.0557 b=9.0557 c=6.1869 alpha=107.41 beta=107.41 gamma=81.92
Closest atoms and distances in Å follow each position.
Element x y z (fractional)
La1 0.0840 0.0840 0.2415  1 La 2.96
La2 0.1004 0.5757 0.8485  2 La 3.41-3.60, 2 Sm 3.47-3.80, 3 Ho 3.48-3.77
La3 0.3620 0.3620 0.3851  1 Sm 3.33, 2 La 3.47-3.54, 4 Ho 3.51-3.63
La4 0.4243 0.8996 0.1515  2 La 3.41-3.60, 2 Sm 3.47-3.80, 3 Ho 3.48-3.77
La5 0.5757 0.1004 0.8485  2 La 3.41-3.60, 2 Sm 3.47-3.80, 3 Ho 3.48-3.77
La6 0.6380 0.6380 0.6149  1 Sm 3.33, 2 La 3.47-3.54, 4 Ho 3.51-3.63
La7 0.8996 0.4243 0.1515  2 La 3.41-3.60, 2 Sm 3.47-3.80, 3 Ho 3.48-3.77
La8 0.9160 0.9160 0.7585  1 La 2.96
Sm1 0.1870 0.1870 0.8265  6 La 3.32-3.56
Sm2 0.8130 0.8130 0.1735  6 La 3.32-3.56
Ho1 0.2309 0.7691 0.5000  8 La 3.59-3.77, 2 Sm 3.75
Ho2 0.5000 0.5000 0.0000  8 La 3.48-3.58
Ho3 0.7691 0.2309 0.5000  8 La 3.59-3.77, 2 Sm 3.75

No. 7
A relaxed structure of SrCeMg. Source: the Alexandria database, functional PBE.

DOS at the Fermi energy in states/eV per atom: 2.4649
Formation enthalpy at 0 K in eV/atom: 0.17
Space-group type: I4mm, No. 107
ΔE to the lowest computed polymorph in meV/atom: 138
Size of the total moment in μB/cell: 1.57

Unit cell a=7.8284 b=7.8284 c=7.8284 alpha=151.84 beta=151.84 gamma=40.25
Closest atoms and distances in Å follow each position.
Element x y z (fractional)
Sr1 0.0000 0.0000 0.0000  4 Mg 3.60, 4 Sr 3.81, 4 Ce 4.01
Ce1 0.2980 0.2980 0.0000  4 Mg 3.35
Mg1 0.6622 0.6622 0.0000  4 Ce 3.35, 4 Sr 3.60

No. 8
A relaxed structure of NpB4H16. Source: the Alexandria database, functional PBE.

DOS at the Fermi energy in states/eV per atom: 0.5373
Calculated total energy in eV per cell: -192.440
Space-group type: P4_2/nmc, No. 137
Size of the total moment in μB/cell: 6.00

Unit cell a=8.5625 b=8.5625 c=6.0654 alpha=90.00 beta=90.00 gamma=90.00
Closest atoms and distances in Å follow each position.
Element x y z (fractional)
Np1 0.2500 0.7500 0.2500  12 H 2.25, 4 B 2.45
Np2 0.7500 0.2500 0.7500  12 H 2.25, 4 B 2.45
B1 0.0172 0.7500 0.0140  4 H 1.20-1.26
B2 0.2500 0.5172 0.4860  4 H 1.20-1.26
B3 0.2500 0.9828 0.4860  4 H 1.20-1.26
B4 0.4828 0.7500 0.0140  4 H 1.20-1.26
B5 0.5172 0.2500 0.9860  4 H 1.20-1.26
B6 0.7500 0.0172 0.5140  4 H 1.20-1.26
B7 0.7500 0.4828 0.5140  4 H 1.20-1.26
B8 0.9828 0.2500 0.9860  4 H 1.20-1.26
H1 0.0116 0.2500 0.7827  1 B 1.26
H2 0.0959 0.2500 0.1016  1 B 1.20
H3 0.1058 0.6342 0.9874  1 B 1.26
H4 0.1058 0.8658 0.9874  1 B 1.26
H5 0.1342 0.6058 0.5126  1 B 1.26
H6 0.1342 0.8942 0.5126  1 B 1.26
H7 0.2500 0.0116 0.2827  1 B 1.26
H8 0.2500 0.0959 0.6016  1 B 1.20
H9 0.2500 0.4041 0.6016  1 B 1.20
H10 0.2500 0.4884 0.2827  1 B 1.26
H11 0.3658 0.6058 0.5126  1 B 1.26
H12 0.3658 0.8942 0.5126  1 B 1.26
H13 0.3942 0.6342 0.9874  1 B 1.26
H14 0.3942 0.8658 0.9874  1 B 1.26
H15 0.4041 0.2500 0.1016  1 B 1.20
H16 0.4884 0.2500 0.7827  1 B 1.26
H17 0.5116 0.7500 0.2173  1 B 1.26
H18 0.5959 0.7500 0.8984  1 B 1.20
H19 0.6058 0.1342 0.0126  1 B 1.26
H20 0.6058 0.3658 0.0126  1 B 1.26
H21 0.6342 0.1058 0.4874  1 B 1.26
H22 0.6342 0.3942 0.4874  1 B 1.26
H23 0.7500 0.5116 0.7173  1 B 1.26
H24 0.7500 0.5959 0.3984  1 B 1.20
H25 0.7500 0.9041 0.3984  1 B 1.20
H26 0.7500 0.9884 0.7173  1 B 1.26
H27 0.8658 0.1058 0.4874  1 B 1.26
H28 0.8658 0.3942 0.4874  1 B 1.26
H29 0.8942 0.1342 0.0126  1 B 1.26
H30 0.8942 0.3658 0.0126  1 B 1.26
H31 0.9041 0.7500 0.8984  1 B 1.20
H32 0.9884 0.7500 0.2173  1 B 1.26

Question: The highest DOS at the Fermi energy belongs to which entry?
Answer: SrCeMg

Copy entry 3 word for word.
A relaxed structure of Ce5Co2Pt2. Source: the Alexandria database, functional PBE.

DOS at the Fermi energy in states/eV per atom: 2.3102
Formation enthalpy at 0 K in eV/atom: -0.47
Space-group type: Ima2, No. 46
Size of the total moment in μB/cell: 5.36

Unit cell a=9.7565 b=9.7565 c=9.7565 alpha=62.11 beta=136.62 gamma=137.82
Closest atoms and distances in Å follow each position.
Element x y z (fractional)
Ce1 0.1403 0.0219 0.6185  1 Co 2.22
Ce2 0.1821 0.0543 0.2364  2 Co 2.68-2.81, 2 Pt 2.84-2.94
Ce3 0.1821 0.4457 0.6277  2 Co 2.68-2.81, 2 Pt 2.84-2.94
Ce4 0.4034 0.5219 0.3815  1 Co 2.22
Ce5 0.5265 0.0262 0.1828  2 Pt 2.77-2.84, 2 Co 2.85-2.89, 1 Ce 3.05
Ce6 0.5265 0.8437 0.0003  2 Pt 2.77-2.84, 2 Co 2.85-2.89, 1 Ce 3.05
Ce7 0.8179 0.5543 0.3723  2 Co 2.68-2.81, 2 Pt 2.84-2.94
Ce8 0.8179 0.9457 0.7636  2 Co 2.68-2.81, 2 Pt 2.84-2.94
Ce9 0.8434 0.3437 0.8172  2 Pt 2.77-2.84, 2 Co 2.85-2.89, 1 Ce 3.05
Ce10 0.8434 0.5262 0.9997  2 Pt 2.77-2.84, 2 Co 2.85-2.89, 1 Ce 3.05
Co1 0.6932 0.1932 0.5000  6 Ce 2.68-2.89, 2 Pt 2.81
Co2 0.6932 0.6932 0.0000  6 Ce 2.68-2.89, 2 Pt 2.81
Co3 0.9788 0.7335 0.7452  1 Ce 2.22
Co4 0.9883 0.2335 0.2548  1 Ce 2.22
Pt1 0.3049 0.4269 0.0414  4 Ce 2.77-2.94, 1 Pt 2.79, 1 Co 2.81
Pt2 0.3049 0.7635 0.3780  4 Ce 2.77-2.94, 1 Pt 2.79, 1 Co 2.81
Pt3 0.3855 0.2635 0.9586  4 Ce 2.77-2.94, 1 Pt 2.79, 1 Co 2.81
Pt4 0.3855 0.9269 0.6220  4 Ce 2.77-2.94, 1 Pt 2.79, 1 Co 2.81

Question: Among the records above, which one has the highest size of the total moment?
Answer: Tm2PuB2Ru5

Question: What is the formula in the first record?
Answer: Na2TaSiS